[1]
TbCePu2Sb4 | PBE | relaxed

Cell lengths 4.444, 7.668, 7.714 Å; angles 70.52, 90.00, 90.00 degrees
Last column: magnetic moment on the atom in μB.
Sites, in units of the cell vectors:
Pu  0.500  0.000  0.500  5.25
Sb  0.000  0.751  0.748  -0.01
Sb  0.500  0.750  0.251  0.03
Pu  0.000  0.000  0.000  -5.24
Sb  0.500  0.250  0.749  0.03
Sb  0.000  0.249  0.252  -0.01
Ce  0.500  0.500  0.000  -0.61
Tb  0.000  0.500  0.500  0.04

Properties
Its space group is No. 10. As for the density: 8.5 g/cm3.



[2]
Ce2PuThSb4 | PBE | relaxed

Cell lengths 4.490, 7.770, 7.780 Å; angles 109.47, 90.00, 90.00 degrees
Last column: magnetic moment on the atom in μB.
Sites, in units of the cell vectors:
Sb  0.000  0.752  0.250  -0.03
Pu  0.000  0.000  0.000  5.32
Ce  0.000  0.500  0.500  0.76
Sb  0.500  0.753  0.752  -0.05
Th  0.500  0.500  0.000  0.01
Ce  0.500  0.000  0.500  0.78
Sb  0.500  0.247  0.248  -0.05
Sb  0.000  0.248  0.750  -0.03

Properties
Its space group is No. 10. As for the density: 8.1 g/cm3.



[3]
CePu2ThSb4 | PBE | relaxed

Cell lengths 4.473, 7.729, 10.867 Å; angles 135.38, 90.00, 90.00 degrees
Last column: magnetic moment on the atom in μB.
Sites, in units of the cell vectors:
Pu  0.500  0.000  0.500  5.33
Pu  0.000  0.000  0.000  5.33
Sb  0.000  0.083  0.749  -0.08
Sb  0.000  0.917  0.251  -0.08
Sb  0.500  0.585  0.751  -0.07
Th  0.000  0.500  0.500  0.10
Sb  0.500  0.415  0.249  -0.07
Ce  0.500  0.500  0.000  0.78

Properties
Its space group is No. 10. As for the density: 8.5 g/cm3.



[4]
CePuTh2Sb4 | PBE | relaxed

Cell lengths 8.991, 8.991, 8.975 Å; angles 119.94, 119.94, 90.00 degrees
Last column: magnetic moment on the atom in μB.
Sites, in units of the cell vectors:
Sb  0.250  0.748  0.499  -0.02
Sb  0.750  0.750  0.997  -0.04
Sb  0.752  0.250  0.001  -0.02
Th  0.500  0.000  0.000  0.04
Pu  0.500  0.500  0.500  5.38
Sb  0.250  0.250  0.003  -0.04
Sb  0.248  0.750  0.999  -0.02
Th  0.500  0.500  0.000  0.03
Sb  0.750  0.252  0.501  -0.02
Ce  0.000  0.500  0.500  0.83
Ce  0.000  0.500  0.000  0.83
Th  0.000  0.000  0.500  0.03
Sb  0.750  0.750  0.503  -0.04
Pu  0.000  0.000  0.000  5.38
Sb  0.250  0.250  0.497  -0.04
Th  0.500  0.000  0.500  0.04

Properties
Its space group is No. 74. As for the density: 8.6 g/cm3.



[5]
Ce2TmPuSb5 | PBE | relaxed

Cell lengths 5.290, 5.290, 11.569 Å; angles 90.00, 90.00, 90.00 degrees
Last column: magnetic moment on the atom in μB.
Sites, in units of the cell vectors:
Ce  0.500  0.500  0.294  1.00
Sb  0.000  0.000  0.750  0.03
Sb  0.500  0.000  0.500  0.00
Ce  0.500  0.500  0.706  1.00
Tm  0.000  0.000  0.500  0.05
Sb  0.000  0.500  0.500  0.00
Sb  0.000  0.000  0.250  0.03
Pu  0.000  0.000  0.000  -5.36
Sb  0.500  0.500  0.000  0.06

Properties
Its space group is No. 123. As for the density: 6.7 g/cm3.



[6]
CeTm2PuSb4 | PBE | relaxed

Cell lengths 4.410, 7.610, 7.626 Å; angles 70.43, 90.00, 90.00 degrees
Last column: magnetic moment on the atom in μB.
Sites, in units of the cell vectors:
Sb  0.000  0.242  0.253  -0.04
Ce  0.500  0.500  0.000  0.65
Sb  0.000  0.758  0.747  -0.04
Sb  0.500  0.757  0.249  -0.06
Pu  0.000  0.500  0.500  5.25
Tm  0.000  0.000  0.000  -0.05
Sb  0.500  0.243  0.751  -0.06
Tm  0.500  0.000  0.500  -0.01

Properties
Its space group is No. 10. As for the density: 8.3 g/cm3.



How do the records compare in formation energy from raw total energies? In the order shown, they have -6.7 -7.4 -5.6 -7.2 -2.0 -7.6 eV per formula unit.